Record 1
Mg4BeCu | PBE-GGA | optimized geometry

Values from the calculation:
- space-group type = F-43m, No. 216
- energy of formation from the pure elements (eV/atom) = 0.5538
- DOS at the Fermi energy (states/eV/f.u.) = 1.70
- electronic total energy (eV per atom) = -1.813

abc: 5.4981 5.4981 5.4981
angles: 60.00 60.00 60.00
Element x y z (fractional)
Mg: 0.8748 0.3751 0.3751
Mg: 0.3751 0.3751 0.8748
Mg: 0.3751 0.8748 0.3751
Mg: 0.3751 0.3751 0.3751
Be: 0.7500 0.7500 0.7500
Cu: 0.0000 0.0000 0.0000



Record 2
NaGa2Ni | PBE-GGA | optimized geometry

Values from the calculation:
- space-group type = R-3m, No. 166
- energy of formation from the pure elements (eV/atom) = -0.0359
- DOS at the Fermi energy (states/eV/f.u.) = 2.06
- electronic total energy (eV per atom) = -3.324

abc: 2.9965 2.9965 9.0985
angles: 80.52 80.52 60.00
Element x y z (fractional)
Ni: 0.0000 0.0000 0.0000
Ga: 0.7346 0.7346 0.7963
Ga: 0.2654 0.2654 0.2037
Na: 0.5000 0.5000 0.5000



Record 3
TcAs7 | PBE-GGA | optimized geometry

Values from the calculation:
- space-group type = Fm-3m, No. 225
- energy of formation from the pure elements (eV/atom) = 0.5464
- DOS at the Fermi energy (states/eV/f.u.) = 5.34
- electronic total energy (eV per atom) = -4.818

abc: 5.8999 5.8999 5.8999
angles: 60.00 60.00 60.00
Element x y z (fractional)
Tc: 0.0000 0.0000 0.0000
As: 0.5000 0.5000 0.0000
As: 0.5000 0.0000 0.5000
As: 0.5000 0.0000 0.0000
As: 0.0000 0.0000 0.5000
As: 0.0000 0.5000 0.0000
As: 0.0000 0.5000 0.5000
As: 0.5000 0.5000 0.5000



Record 4
Nb3WSe8 | PBE-GGA | optimized geometry

Values from the calculation:
- space-group type = Cm, No. 8
- E above lowest polymorph (eV/f.u.) = 0.00
- DOS at the Fermi energy (states/eV/f.u.) = 5.87
- electronic total energy (eV per atom) = -6.701

abc: 7.0551 7.0551 11.9290
angles: 81.90 81.90 28.19
Element x y z (fractional)
Nb: 0.9994 0.9994 0.9901
Nb: 0.5002 0.5002 0.2502
Nb: 0.0002 0.0002 0.5074
W: 0.4997 0.4997 0.7510
Se: 0.6251 0.6251 0.5679
Se: 0.1245 0.1245 0.8066
Se: 0.6226 0.6226 0.0608
Se: 0.1241 0.1241 0.3161
Se: 0.8761 0.8761 0.3575
Se: 0.3751 0.3751 0.6089
Se: 0.8745 0.8745 0.8481
Se: 0.3765 0.3765 0.1024



Record 5
K2Ge2Br | PBE-GGA | optimized geometry

Values from the calculation:
- space-group type = I4/mmm, No. 139
- DOS at the Fermi energy (states/eV/f.u.) = 1.74
- electronic total energy (eV per atom) = -3.227

abc: 3.8761 3.8761 10.2967
angles: 79.15 79.15 90.00
Element x y z (fractional)
Ge: 0.7500 0.2500 0.5000
Ge: 0.2500 0.7500 0.5000
K: 0.4003 0.4003 0.1993
K: 0.5997 0.5997 0.8007
Br: 0.0000 0.0000 0.0000



Record 6
Tl3SeF6 | PBE-GGA | optimized geometry

Values from the calculation:
- space-group type = Cmc2_1, No. 36
- electronic total energy (eV per atom) = -3.796

abc: 6.6190 8.4686 8.4686
angles: 104.87 90.00 90.00
Element x y z (fractional)
Tl: 0.4904 0.8740 0.6407
Tl: 0.9904 0.6407 0.8740
Tl: 0.4768 0.3962 0.6038
Tl: 0.9768 0.6038 0.3962
Tl: 0.9904 0.1260 0.3593
Tl: 0.4904 0.3593 0.1260
Se: 0.9219 0.1346 0.8654
Se: 0.4219 0.8654 0.1346
F: 0.2351 0.6589 0.6447
F: 0.7351 0.6447 0.6589
F: 0.1256 0.2952 0.9401
F: 0.6256 0.9401 0.2952
F: 0.0499 0.0068 0.9932
F: 0.8346 0.2696 0.7304
F: 0.3346 0.7304 0.2696
F: 0.5499 0.9932 0.0068
F: 0.1256 0.0599 0.7048
F: 0.6256 0.7048 0.0599
F: 0.2351 0.3553 0.3411
F: 0.7351 0.3411 0.3553